MnTc2Te | PBE | optimized geometry

```
data_MnTc2Te
_chemical_formula_sum 'Mn1 Tc2 Te1'
_space_group_name_H-M_alt 'P 4 m m'
_space_group_IT_number 99
_cell_length_a 3.092
_cell_length_b 3.092
_cell_length_c 6.830
_cell_angle_alpha 90.00
_cell_angle_beta 90.00
_cell_angle_gamma 90.00
loop_
_space_group_symop_operation_xyz
'x,y,z'
'-y,x,z'
'-x,-y,z'
'y,-x,z'
'-x,y,z'
'y,x,z'
'x,-y,z'
'-y,-x,z'
loop_
_atom_site_label
_atom_site_type_symbol
_atom_site_fract_x
_atom_site_fract_y
_atom_site_fract_z
Mn1 Mn 0.000 0.000 0.000
Tc1 Tc 0.000 0.000 0.453
Tc2 Tc 0.500 0.500 0.236
Te1 Te 0.500 0.500 0.742
```

Summary:
Volume (A^3/atom): 16.33
Total DFT energy (no corrections) (eV per atom): -7.92
Formation energy from raw total energies (eV per atom): 0.34


Na4PmRe3O12 | PBE | optimized geometry

```
data_Na4PmRe3O12
_chemical_formula_sum 'Na8 Pm2 Re6 O24'
_space_group_name_H-M_alt 'I m -3 m'
_space_group_IT_number 229
_space_group_name_Hall '-I 4 2 3'
_cell_length_a 8.087
_cell_length_b 8.087
_cell_length_c 8.087
_cell_angle_alpha 90.00
_cell_angle_beta 90.00
_cell_angle_gamma 90.00
loop_
_atom_site_label
_atom_site_type_symbol
_atom_site_fract_x
_atom_site_fract_y
_atom_site_fract_z
Na1 Na 0.250 0.250 0.250
Pm1 Pm 0.000 0.000 0.000
Re1 Re 0.000 0.000 0.500
O1 O 0.000 0.000 0.272
O2 O 0.000 0.250 0.500
```

Summary:
Volume (A^3/atom): 13.22
Total DFT energy (no corrections) (eV per atom): -7.13
Formation energy from raw total energies (eV per atom): -1.79


Pm2PuSi3Au12 | PBE | optimized geometry

```
data_Pm2PuSi3Au12
_chemical_formula_sum 'Pm6 Pu3 Si9 Au36'
_space_group_name_H-M_alt 'R -3 m'
_space_group_IT_number 166
_space_group_name_Hall '-R 3 2"'
_cell_length_a 8.9587
_cell_length_b 8.9587
_cell_length_c 17.8799
_cell_angle_alpha 90.00
_cell_angle_beta 90.00
_cell_angle_gamma 120.00
loop_
_atom_site_label
_atom_site_type_symbol
_atom_site_fract_x
_atom_site_fract_y
_atom_site_fract_z
Pm1 Pm 0.0000 0.0000 0.0947
Pu1 Pu 0.0000 0.0000 0.5000
Si1 Si 0.0000 0.5000 0.0000
Au1 Au 0.0294 0.5147 0.3157
Au2 Au 0.0422 0.5211 0.8635
```

Summary:
Volume (A^3/atom): 23.01
Total DFT energy (no corrections) (eV per atom): -4.55
Formation energy from raw total energies (eV per atom): -0.14


YRhF | PBE | optimized geometry

```
data_YRhF
_chemical_formula_sum 'Y4 Rh4 F4'
_space_group_name_H-M_alt 'C 1 2/m 1'
_space_group_IT_number 12
_cell_length_a 5.304
_cell_length_b 4.910
_cell_length_c 8.271
_cell_angle_alpha 90.00
_cell_angle_beta 105.91
_cell_angle_gamma 90.00
loop_
_space_group_symop_operation_xyz
'x,y,z'
'-x,-y,-z'
'-x,y,-z'
'x,-y,z'
'x+1/2,y+1/2,z'
'-x+1/2,-y+1/2,-z'
'-x+1/2,y+1/2,-z'
'x+1/2,-y+1/2,z'
loop_
_atom_site_label
_atom_site_type_symbol
_atom_site_fract_x
_atom_site_fract_y
_atom_site_fract_z
Y1 Y 0.229 0.000 0.225
Rh1 Rh 0.245 0.500 0.436
F1 F 0.205 0.000 0.936
```

Summary:
Volume (A^3/atom): 17.27
Total DFT energy (no corrections) (eV per atom): -7.06
Formation energy from raw total energies (eV per atom): -1.83


AlHF | PBE | optimized geometry

```
data_AlHF
_chemical_formula_sum 'Al8 H8 F8'
_space_group_name_H-M_alt 'F m m 2'
_space_group_IT_number 42
_space_group_name_Hall 'F 2 -2'
_cell_length_a 6.317
_cell_length_b 6.852
_cell_length_c 7.510
_cell_angle_alpha 90.00
_cell_angle_beta 90.00
_cell_angle_gamma 90.00
loop_
_atom_site_label
_atom_site_type_symbol
_atom_site_fract_x
_atom_site_fract_y
_atom_site_fract_z
Al1 Al 0.000 0.000 0.000
Al2 Al 0.000 0.000 0.341
H1 H 0.210 0.000 0.477
F1 F 0.000 0.211 0.861
```

Summary:
Volume (A^3/atom): 13.54
Total DFT energy (no corrections) (eV per atom): -4.41


SrCaTbCd | PBE | optimized geometry

```
data_SrCaTbCd
_chemical_formula_sum 'Sr4 Ca4 Tb4 Cd4'
_space_group_name_H-M_alt 'F -4 3 m'
_space_group_IT_number 216
_space_group_name_Hall 'F -4 2 3'
_cell_length_a 8.154
_cell_length_b 8.154
_cell_length_c 8.154
_cell_angle_alpha 90.00
_cell_angle_beta 90.00
_cell_angle_gamma 90.00
loop_
_atom_site_label
_atom_site_type_symbol
_atom_site_fract_x
_atom_site_fract_y
_atom_site_fract_z
Sr1 Sr 0.000 0.000 0.000
Ca1 Ca 0.250 0.250 0.250
Tb1 Tb 0.000 0.000 0.500
Cd1 Cd 0.250 0.250 0.750
```

Summary:
Volume (A^3/atom): 33.88
Total DFT energy (no corrections) (eV per atom): -2.27